This record from Alexandria via LeMat-Bulk describes a relaxed TbEuEr2 crystal. The functional is PBE.

Polymorph energy (0 for the lowest one) (eV/f.u.): 0.00
ΔE_f (eV/atom): 0.065

a = 3.5911 Å, b = 3.5911 Å, c = 10.2439 Å
α = 90.00°, β = 90.00°, γ = 90.00°
Each line ends with the local moment (μB).
Atoms (fractional coordinates):
1 Eu 0.5000 0.5000 0.5000  6.94
2 Er 0.0000 0.0000 0.2346  0.10
3 Er 0.0000 0.0000 0.7654  0.10
4 Tb 0.5000 0.5000 0.0000  -0.05



This record from Alexandria via LeMat-Bulk describes a relaxed KHg3Pt crystal. The functional is PBE.

Polymorph energy (0 for the lowest one) (eV/f.u.): 0.56
ΔE_f (eV/atom): -0.156

a = 7.3348 Å, b = 7.9761 Å, c = 6.2881 Å
α = 76.34°, β = 118.65°, γ = 118.81°
Atoms (fractional coordinates):
1 Pt 0.1259 0.8433 0.5321
2 Pt 0.4033 0.6783 0.6876
3 Hg 0.7982 0.8431 0.6237
4 Hg 0.9497 0.3990 0.5562
5 Hg 0.6071 0.0821 0.7369
6 Hg 0.7215 0.6610 0.1407
7 Hg 0.9566 0.1264 0.2615
8 Hg 0.4784 0.3977 0.5989
9 K 0.1628 0.6162 0.0844
10 K 0.3495 0.1478 0.0769



This record from Alexandria via LeMat-Bulk describes a relaxed Zn2ReGe2 crystal. The functional is PBE.

ΔE_f (eV/atom): 0.351

a = 6.6082 Å, b = 6.6082 Å, c = 3.6633 Å
α = 90.00°, β = 90.00°, γ = 90.00°
Atoms (fractional coordinates):
1 Re 0.5000 0.5000 0.0000
2 Re 0.0000 0.0000 0.0000
3 Ge 0.3587 0.8587 0.0000
4 Ge 0.1413 0.3587 0.0000
5 Ge 0.8587 0.6413 0.0000
6 Ge 0.6413 0.1413 0.0000
7 Zn 0.8364 0.3364 0.5000
8 Zn 0.6636 0.8364 0.5000
9 Zn 0.1636 0.6636 0.5000
10 Zn 0.3364 0.1636 0.5000



This record from Alexandria via LeMat-Bulk describes a relaxed Pm7Pr2Dy3 crystal. The functional is PBE.

Polymorph energy (0 for the lowest one) (eV/f.u.): 0.00
ΔE_f (eV/atom): 0.067

a = 3.5815 Å, b = 6.4742 Å, c = 18.2566 Å
α = 75.35°, β = 90.00°, γ = 90.00°
Atoms (fractional coordinates):
1 Pr 0.5000 0.6125 0.3291
2 Pr 0.5000 0.3875 0.6709
3 Pm 0.0000 0.0000 0.0000
4 Pm 0.5000 0.9405 0.8314
5 Pm 0.0000 0.5590 0.1640
6 Pm 0.5000 0.7609 0.4970
7 Pm 0.0000 0.4410 0.8360
8 Pm 0.5000 0.2391 0.5030
9 Pm 0.5000 0.0595 0.1686
10 Dy 0.0000 0.8872 0.6591
11 Dy 0.0000 0.1128 0.3409
12 Dy 0.5000 0.5000 0.0000



This record from Alexandria via LeMat-Bulk describes a relaxed KGaF2 crystal. The functional is PBE.

Polymorph energy (0 for the lowest one) (eV/f.u.): 0.03
Energy relative to the elements, uncorrected (eV per atom): -2.051

a = 5.7871 Å, b = 5.7871 Å, c = 7.1162 Å
α = 66.01°, β = 66.01°, γ = 90.00°
Atoms (fractional coordinates):
1 F 0.1003 0.6250 0.2500
2 F 0.3750 0.3503 0.7500
3 F 0.6497 0.1250 0.2500
4 F 0.8750 0.8997 0.7500
5 Ga 0.0000 0.0000 0.0000
6 Ga 0.7500 0.2500 0.5000
7 K 0.5000 0.5000 0.0000
8 K 0.2500 0.7500 0.5000



This record from Alexandria via LeMat-Bulk describes a relaxed YAl2Tc crystal. The functional is PBE.

Polymorph energy (0 for the lowest one) (eV/f.u.): 2.26
ΔE_f (eV/atom): 0.223

a = 4.1053 Å, b = 4.1053 Å, c = 10.1314 Å
α = 78.31°, β = 78.31°, γ = 90.00°
Atoms (fractional coordinates):
1 Al 0.3750 0.3199 0.7500
2 Al 0.6801 0.1250 0.2500
3 Al 0.8750 0.9301 0.7500
4 Al 0.0699 0.6250 0.2500
5 Y 0.2500 0.7500 0.5000
6 Y 0.5000 0.5000 0.0000
7 Tc 0.7500 0.2500 0.5000
8 Tc 0.0000 0.0000 0.0000



This record from Alexandria via LeMat-Bulk describes a relaxed ScTl2Br crystal. The functional is PBE.

Polymorph energy (0 for the lowest one) (eV/f.u.): 2.51
Energy relative to the elements, uncorrected (eV per atom): 0.067

a = 5.4543 Å, b = 5.4543 Å, c = 5.4543 Å
α = 60.00°, β = 60.00°, γ = 60.00°
Atoms (fractional coordinates):
1 Tl 0.2500 0.2500 0.2500
2 Tl 0.7500 0.7500 0.7500
3 Sc 0.0000 0.0000 0.0000
4 Br 0.5000 0.5000 0.5000



This record from Alexandria via LeMat-Bulk describes a relaxed Sb2MoPt crystal. The functional is PBE.

Polymorph energy (0 for the lowest one) (eV/f.u.): 0.21
Energy relative to the elements, uncorrected (eV per atom): -0.006

a = 3.7444 Å, b = 3.7438 Å, c = 5.6221 Å
α = 90.00°, β = 90.00°, γ = 90.00°
Atoms (fractional coordinates):
1 Mo 0.0000 0.0000 0.4578
2 Pt 0.5000 0.5000 0.8005
3 Sb 0.5000 0.5000 0.2986
4 Sb 0.0000 0.0000 0.9432